1.
# Tb5Ge3B

An optimized crystal structure of Tb5Ge3B (PBE, Alexandria). Values from VASP.

Cell and atoms, written as Quantum ESPRESSO input:
```
&SYSTEM
  ibrav = 0, nat = 18, ntyp = 3
/
ATOMIC_SPECIES
Tb 158.93 Tb.upf
Ge 72.64 Ge.upf
B 10.81 B.upf
ATOMIC_POSITIONS crystal
Tb 0.000 0.237 0.250
Tb 0.000 0.763 0.750
Tb 0.237 0.000 0.250
Tb 0.237 0.237 0.750
Tb 0.333 0.667 0.000
Tb 0.333 0.667 0.500
Tb 0.667 0.333 0.000
Tb 0.667 0.333 0.500
Tb 0.763 0.000 0.750
Tb 0.763 0.763 0.250
Ge 0.000 0.400 0.750
Ge 0.000 0.600 0.250
Ge 0.400 0.000 0.750
Ge 0.400 0.400 0.250
Ge 0.600 0.000 0.250
Ge 0.600 0.600 0.750
B 0.000 0.000 0.000
B 0.000 0.000 0.500
CELL_PARAMETERS angstrom
8.659 0.000 0.000
-4.330 7.499 0.000
0.000 0.000 6.437
```

## Properties
**Energy of formation**: -0.6371 eV/atom
**Final energy**: -98.83 eV for the cell shown

2.
# NdZrHgAu

An optimized crystal structure of NdZrHgAu (PBE, Alexandria). Values from VASP.

Cell and atoms, written as Quantum ESPRESSO input:
```
&SYSTEM
  ibrav = 0, nat = 4, ntyp = 4
/
ATOMIC_SPECIES
Nd 144.24 Nd.upf
Zr 91.22 Zr.upf
Hg 200.59 Hg.upf
Au 196.97 Au.upf
ATOMIC_POSITIONS crystal
Nd 0.000 0.000 0.000
Zr 0.500 0.500 0.500
Hg 0.250 0.250 0.250
Au 0.750 0.750 0.750
CELL_PARAMETERS angstrom
0.000 3.638 3.638
3.638 0.000 3.638
3.638 3.638 0.000
```

## Properties
**Energy of formation**: -0.3445 eV/atom
**Final energy**: -18.27 eV for the cell shown

3.
# SrLiHfB2

An optimized crystal structure of SrLiHfB2 (PBE, Alexandria). Values from VASP.

Cell and atoms, written as Quantum ESPRESSO input:
```
&SYSTEM
  ibrav = 0, nat = 5, ntyp = 4
/
ATOMIC_SPECIES
Sr 87.62 Sr.upf
Li 6.94 Li.upf
Hf 178.49 Hf.upf
B 10.81 B.upf
ATOMIC_POSITIONS crystal
Sr 0.000 0.000 0.000
Li 0.500 0.500 0.000
Hf 0.500 0.500 0.500
B 0.000 0.500 0.500
B 0.500 0.000 0.500
CELL_PARAMETERS angstrom
4.570 0.000 0.000
0.000 4.570 0.000
0.000 0.000 5.054
```

## Properties
**Energy of formation**: 0.8834 eV/atom
**Final energy**: -22.49 eV for the cell shown

4.
# PmPr2Th2

An optimized crystal structure of PmPr2Th2 (PBE, Alexandria). Values from VASP.

Cell and atoms, written as Quantum ESPRESSO input:
```
&SYSTEM
  ibrav = 0, nat = 5, ntyp = 3
/
ATOMIC_SPECIES
Pm 145.00 Pm.upf
Pr 140.91 Pr.upf
Th 232.04 Th.upf
ATOMIC_POSITIONS crystal
Pm 0.000 0.000 0.000
Pr 0.395 0.395 0.000
Pr 0.605 0.605 0.000
Th 0.204 0.204 0.000
Th 0.796 0.796 0.000
CELL_PARAMETERS angstrom
-1.813 1.813 13.022
1.813 -1.813 13.022
1.813 1.813 -13.022
```

## Properties
**Energy relative to the lowest polymorph listed for this composition**: 0 meV per atom
**Energy of formation**: 0.0353 eV/atom
**Final energy**: -28.97 eV for the cell shown

5.
# HgPt2Cl

An optimized crystal structure of HgPt2Cl (PBE, Alexandria). Values from VASP.

Cell and atoms, written as Quantum ESPRESSO input:
```
&SYSTEM
  ibrav = 0, nat = 4, ntyp = 3
/
ATOMIC_SPECIES
Hg 200.59 Hg.upf
Pt 195.08 Pt.upf
Cl 35.45 Cl.upf
ATOMIC_POSITIONS crystal
Hg 0.000 0.000 0.000
Pt 0.500 0.500 0.248
Pt 0.500 0.500 0.752
Cl 0.000 0.000 0.500
CELL_PARAMETERS angstrom
3.006 0.000 0.000
0.000 3.006 0.000
0.000 0.000 7.915
```

## Properties
**Energy relative to the lowest polymorph listed for this composition**: 302 meV per atom
**Formation energy from raw total energies**: 0.411 eV/atom
**Final energy**: -12.59 eV for the cell shown

6.
# Zr3BeTc2

An optimized crystal structure of Zr3BeTc2 (PBE, Alexandria). Values from VASP.

Cell and atoms, written as Quantum ESPRESSO input:
```
&SYSTEM
  ibrav = 0, nat = 6, ntyp = 3
/
ATOMIC_SPECIES
Zr 91.22 Zr.upf
Be 9.01 Be.upf
Tc 98.00 Tc.upf
ATOMIC_POSITIONS crystal
Zr 0.000 0.000 0.000
Zr 0.000 0.000 0.340
Zr 0.000 0.000 0.660
Be 0.500 0.500 0.500
Tc 0.500 0.500 0.177
Tc 0.500 0.500 0.823
CELL_PARAMETERS angstrom
3.311 0.000 0.000
0.000 3.311 0.000
0.000 0.000 9.482
```

## Properties
**Energy of formation**: -0.2895 eV/atom
**Final energy**: -51.84 eV for the cell shown

no.,density of states at the Fermi level (states/eV/cell)
1,15.948
2,4.074
3,4.289
4,8.078
5,2.768
6,6.100